# 1
TiTcP PBE relaxed; offset from the most stable computed form = 0 meV per atom; E_tot = -8.89 eV per atom; space group = Ima2, No. 46; density = 7.0 g/cm³; E_form = -1003 meV/atom
1.0
-3.410 5.651 3.260
3.410 -5.651 3.260
3.410 5.651 -3.260
Ti Tc P
6 6 6
Cartesian
1.705 0.048 0.000
1.705 3.261 0.740
1.705 -2.229 4.016
1.705 7.880 0.756
1.705 2.390 4.000
1.705 5.603 3.260
3.607 4.215 -1.410
3.214 -1.436 1.850
-0.196 1.436 1.850
3.607 1.436 1.850
0.000 5.651 1.066
0.000 0.000 4.326
3.427 1.895 -0.578
3.393 -3.755 2.682
1.705 5.398 -0.655
1.705 0.253 2.605
-0.017 3.755 2.682
3.427 3.755 2.682

# 2
Ba2ZrSc PBE relaxed; offset from the most stable computed form = 153 meV per atom; E_tot = -4.18 eV per atom; space group = Cm, No. 8; density = 4.4 g/cm³; E_form = 497 meV/atom
1.0
5.226 -1.775 0.000
5.226 1.775 0.000
-0.725 0.000 8.270
Ba Zr Sc
2 1 1
Cartesian
0.000 0.000 0.000
1.947 0.000 5.425
7.603 0.000 2.261
4.713 0.000 3.186

# 3
Tm7Co2Pb2 PBE relaxed; offset from the most stable computed form = 108 meV per atom; E_tot = -5.01 eV per atom; space group = Cmmm, No. 65; density = 9.5 g/cm³; E_form = -198 meV/atom
1.0
3.938 -5.365 0.000
3.938 5.365 0.000
0.000 0.000 7.097
Tm Co Pb
7 2 2
Cartesian
0.000 0.000 0.000
1.969 2.682 1.661
1.969 2.682 5.436
1.969 -2.682 1.661
1.969 -2.682 5.436
3.938 0.000 1.554
3.938 0.000 5.543
3.938 2.283 0.000
3.938 -2.283 0.000
1.520 0.000 3.548
6.355 0.000 3.548

# 4
LiSmGaPt2 PBE relaxed; E_tot = -5.27 eV per atom; space group = I-4m2, No. 119; density = 11.0 g/cm³; E_form = -922 meV/atom
1.0
-1.937 1.937 6.229
1.937 -1.937 6.229
1.937 1.937 -6.229
Li Sm Ga Pt
1 1 1 2
Cartesian
0.000 0.000 0.000
1.937 0.000 3.114
0.000 0.000 6.229
0.000 1.937 1.729
0.000 1.937 4.500

# 5
Tl2W PBE relaxed; offset from the most stable computed form = 556 meV per atom; E_tot = -4.71 eV per atom; space group = Cmcm, No. 63; density = 15.1 g/cm³; E_form = 1184 meV/atom
1.0
1.527 -8.365 0.000
1.527 8.365 0.000
0.000 0.000 5.096
Tl W
4 2
Cartesian
1.527 7.368 3.822
1.527 3.865 1.274
1.527 -3.865 3.822
1.527 -7.368 1.274
1.527 1.866 3.822
1.527 -1.866 1.274

# 6
Cs4K2HgAu2 PBE relaxed; E_tot = -1.55 eV per atom; space group = P-1, No. 2; density = 3.3 g/cm³; E_form = -163 meV/atom
1.0
7.043 0.000 0.000
-3.498 8.181 0.000
-0.004 -1.227 10.406
Cs K Hg Au
4 2 1 2
Cartesian
0.006 0.209 2.507
0.012 3.442 8.829
3.529 3.512 1.576
3.535 6.745 7.899
0.008 5.452 4.457
3.533 1.502 5.948
3.522 0.000 0.000
0.012 6.743 7.507
3.529 0.211 2.899

# 7
ReAs2P PBE relaxed; E_tot = -6.40 eV per atom; space group = Pm, No. 6; density = 7.4 g/cm³; E_form = 385 meV/atom
1.0
3.158 0.000 0.000
0.000 4.247 0.000
-0.026 0.000 6.109
Re As P
1 2 1
Cartesian
0.000 0.000 0.000
3.138 2.124 4.706
1.579 0.000 1.921
0.000 2.124 1.125

# 8
LiScCr2Te PBE relaxed; formation energy (no corrections) = 5.9 eV per formula unit; E_tot = -4.94 eV per atom; space group = P4/mmm, No. 123; density = 4.2 g/cm³
1.0
4.744 0.000 0.000
0.000 4.744 0.000
0.000 0.000 4.955
Li Sc Cr Te
1 1 2 1
Cartesian
0.000 0.000 0.000
0.000 0.000 2.477
0.000 2.372 2.477
2.372 0.000 2.477
2.372 2.372 0.000

# 9
Mg2MnPdC PBE relaxed; E_tot = -3.40 eV per atom; space group = P4/mmm, No. 123; density = 3.6 g/cm³; E_form = 1950 meV/atom
1.0
4.874 0.000 0.000
0.000 4.874 0.000
0.000 0.000 4.351
Mg Mn Pd C
2 1 1 1
Cartesian
0.000 2.437 0.000
2.437 0.000 0.000
0.000 0.000 0.000
0.000 0.000 2.175
2.437 2.437 2.175

# 10
Y2FeRh PBE relaxed; E_tot = -7.49 eV per atom; space group = P4/mmm, No. 123; density = 6.9 g/cm³; E_form = -301 meV/atom
1.0
4.882 0.000 0.000
0.000 4.882 0.000
0.000 0.000 3.377
Y Fe Rh
2 1 1
Cartesian
0.000 2.441 0.000
2.441 0.000 0.000
0.000 0.000 1.689
2.441 2.441 1.689

# 11
Sm5MgIn8 PBE relaxed; E_tot = -3.67 eV per atom; space group = I-4, No. 82; density = 7.1 g/cm³; E_form = -311 meV/atom
1.0
-4.677 4.677 4.538
4.677 -4.677 4.538
4.677 4.677 -4.538
Sm Mg In
5 1 8
Cartesian
0.000 0.000 0.000
2.245 3.611 -1.270
5.744 2.245 1.270
2.432 1.067 3.268
-1.067 2.432 5.808
0.000 4.677 2.269
3.124 0.788 0.125
5.377 3.003 -1.867
3.890 -1.553 4.413
-0.700 1.674 2.671
3.003 3.977 1.867
0.788 6.231 -0.125
1.674 0.700 6.405
1.553 3.890 4.663

# 12
LaZnCo PBE relaxed; E_tot = -4.69 eV per atom; space group = C2/m, No. 12; density = 7.3 g/cm³; E_form = -253 meV/atom
1.0
5.691 -2.217 0.000
5.691 2.217 0.000
-1.164 0.000 4.778
La Zn Co
2 2 2
Cartesian
1.028 0.000 1.552
9.190 0.000 3.225
4.417 0.000 0.911
5.801 0.000 3.866
1.224 0.000 4.250
8.994 0.000 0.527

# 13
NaLiCaGe PBE relaxed; E_tot = -2.76 eV per atom; space group = F-43m, No. 216; density = 2.7 g/cm³; E_form = -300 meV/atom
1.0
0.000 3.547 3.547
3.547 0.000 3.547
3.547 3.547 0.000
Na Li Ca Ge
1 1 1 1
Cartesian
0.000 0.000 0.000
5.320 5.320 5.320
1.773 1.773 1.773
3.547 3.547 3.547

# 14
BaCoCl PBE relaxed; formation energy (no corrections) = -0.9 eV per formula unit; offset from the most stable computed form = 588 meV per atom; E_tot = -3.92 eV per atom; space group = Imma, No. 74; density = 4.6 g/cm³
1.0
-3.157 4.377 3.028
3.157 -4.377 3.028
3.157 4.377 -3.028
Ba Co Cl
2 2 2
Cartesian
0.000 0.000 0.000
0.000 4.377 0.000
3.157 2.189 0.472
0.000 2.189 2.556
1.579 2.189 -1.514
1.579 -2.189 1.514

# 15
Pr2RhAu PBE relaxed; E_tot = -5.73 eV per atom; space group = P4/mmm, No. 123; density = 9.9 g/cm³; E_form = -679 meV/atom
1.0
3.656 0.000 0.000
0.000 3.656 0.000
0.000 0.000 7.330
Pr Rh Au
2 1 1
Cartesian
0.000 0.000 1.721
0.000 0.000 5.609
1.828 1.828 0.000
1.828 1.828 3.665

# 16
Rb5Se2Cl2 PBE relaxed; formation energy (no corrections) = -12.3 eV per formula unit; E_tot = -3.09 eV per atom; space group = Cmce, No. 64; density = 3.2 g/cm³
1.0
8.437 -4.474 0.000
8.437 4.474 0.000
0.000 0.000 9.007
Rb Se Cl
10 4 4
Cartesian
0.000 0.000 0.000
6.132 2.999 5.941
6.132 1.475 1.438
10.742 2.999 5.941
10.742 1.475 1.438
8.437 0.000 4.503
6.132 -1.475 7.568
6.132 -2.999 3.065
10.742 -1.475 7.568
10.742 -2.999 3.065
8.437 3.341 3.352
8.437 1.134 7.856
8.437 -1.134 1.151
8.437 -3.341 5.654
3.406 0.000 0.000
5.031 0.000 4.503
11.843 0.000 4.503
13.468 0.000 0.000

# 17
Ta3AgMo PBE relaxed; offset from the most stable computed form = 803 meV per atom; E_tot = -7.60 eV per atom; space group = Pm-3m, No. 221; density = 11.1 g/cm³; E_form = 2250 meV/atom
1.0
4.820 0.000 0.000
0.000 4.820 0.000
0.000 0.000 4.820
Ta Ag Mo
3 1 1
Cartesian
0.000 0.000 2.410
0.000 2.410 0.000
2.410 0.000 0.000
0.000 0.000 0.000
2.410 2.410 2.410

# 18
BaMg4Fe PBE relaxed; E_tot = -2.43 eV per atom; space group = F-43m, No. 216; density = 3.1 g/cm³; E_form = 361 meV/atom
1.0
0.000 4.258 4.258
4.258 0.000 4.258
4.258 4.258 0.000
Ba Mg Fe
1 4 1
Cartesian
0.000 0.000 0.000
3.209 3.209 3.209
5.306 5.306 3.209
5.306 3.209 5.306
3.209 5.306 5.306
6.386 6.386 6.386

# 19
BaSnHgSb PBE relaxed; formation energy (no corrections) = -1.8 eV per formula unit; offset from the most stable computed form = 0 meV per atom; E_tot = -3.03 eV per atom; space group = Cm, No. 8; density = 6.7 g/cm³
1.0
6.263 -2.144 0.000
6.263 2.144 0.000
-2.264 0.000 5.330
Ba Sn Hg Sb
1 1 1 1
Cartesian
0.000 0.000 0.000
8.702 0.000 1.875
6.877 0.000 4.196
4.412 0.000 2.304

# 20
ZnRh2Pb PBE relaxed; E_tot = -5.07 eV per atom; space group = P4/mmm, No. 123; density = 12.1 g/cm³; E_form = -146 meV/atom
1.0
4.332 0.000 0.000
0.000 4.332 0.000
0.000 0.000 3.486
Zn Rh Pb
1 2 1
Cartesian
0.000 0.000 0.000
0.000 2.166 1.743
2.166 0.000 1.743
2.166 2.166 0.000

# 21
SrSnHgTe3 PBE relaxed; formation energy (no corrections) = -3.9 eV per formula unit; E_tot = -3.21 eV per atom; space group = P2_1/m, No. 11; density = 6.1 g/cm³
1.0
9.228 0.000 0.000
0.000 4.534 0.000
-1.802 0.000 10.220
Sr Sn Hg Te
2 2 2 6
Cartesian
1.243 1.134 2.357
6.182 3.401 7.863
1.592 3.401 8.833
5.834 1.134 1.387
-0.113 1.134 6.201
7.539 3.401 4.019
-0.771 1.134 8.950
1.318 3.401 5.124
3.596 3.401 1.590
3.829 1.134 8.630
6.107 1.134 5.096
8.197 3.401 1.270

# 22
CaReSbRh2 PBE relaxed; formation energy (no corrections) = 2.2 eV per formula unit; E_tot = -6.22 eV per atom; space group = P4/mmm, No. 123; density = 7.8 g/cm³
1.0
4.833 0.000 0.000
0.000 4.833 0.000
0.000 0.000 5.081
Ca Re Sb Rh
1 1 1 2
Cartesian
0.000 0.000 0.000
2.416 2.416 2.540
2.416 2.416 0.000
0.000 2.416 2.540
2.416 0.000 2.540

# 23
ZnCdRe2 PBE relaxed; offset from the most stable computed form = 365 meV per atom; E_tot = -6.24 eV per atom; space group = Pmmm, No. 47; density = 14.3 g/cm³; E_form = 528 meV/atom
1.0
3.140 0.000 0.000
0.000 4.357 0.000
0.000 0.000 4.668
Zn Cd Re
1 1 2
Cartesian
0.000 0.000 0.000
1.570 2.179 0.000
0.000 2.179 2.334
1.570 0.000 2.334

# 24
NaNbCdO4 PBE relaxed; formation energy (no corrections) = -13.3 eV per formula unit; E_tot = -6.49 eV per atom; space group = P2_1/m, No. 11; density = 3.7 g/cm³
1.0
6.354 0.000 0.000
0.000 6.210 0.000
-0.157 0.000 6.570
Na Nb Cd O
2 2 2 8
Cartesian
1.143 1.552 2.524
5.054 4.657 4.046
0.937 4.657 0.846
5.260 1.552 5.723
2.202 1.552 6.088
3.995 4.657 0.482
0.299 4.657 5.674
0.498 1.552 4.679
2.149 3.189 1.130
2.149 6.125 1.130
4.048 0.084 5.439
4.048 3.021 5.439
5.699 4.657 1.890
5.898 1.552 0.895

# 25
SrAg2Sb PBE relaxed; formation energy (no corrections) = -0.7 eV per formula unit; E_tot = -3.04 eV per atom; space group = P4mm, No. 99; density = 6.9 g/cm³
1.0
3.696 0.000 0.000
0.000 3.696 0.000
0.000 0.000 7.510
Sr Ag Sb
1 2 1
Cartesian
0.000 0.000 0.000
0.000 0.000 3.557
1.848 1.848 2.188
1.848 1.848 5.177